Entry from Alexandria: Dy7Tm3In after structural relaxation (GGA-PBE).

Structure (POSCAR):
```
Dy7Tm3In
1.0
8.4375 0.0000 0.0000
0.0000 6.9240 0.0000
0.0000 -3.4620 5.9964
Dy Tm In
7 3 1
direct
0.1207 0.1682 0.8318
0.1207 0.6635 0.8318
0.4476 0.8303 0.6606
0.4476 0.3394 0.1697
0.4476 0.8303 0.1697
0.1207 0.1682 0.3365
0.1106 0.6667 0.3333
0.7824 0.5006 0.0012
0.7824 0.5006 0.4994
0.7824 0.9988 0.4994
0.4523 0.3333 0.6667
```

Values from the calculation:
E_tot: -47.0 eV per formula unit
Total moment: 0.00 μB/f.u.
Crystal system: trigonal
SG: No. 156
Calculated volume: 31.85 A^3/atom
Formation energy: 0.1219 eV per atom